Material: Er2TaBiO8
Method: DFT, PBE
State: relaxed

Computed properties:
**Crystal system**: orthorhombic
**SG**: Cmmm
**Spin magnetization**: 0.00 μB per atom
**VASP energy**: -7.939 eV/atom
**ΔE_f (raw)**: -2562 meV/atom

```
12
Lattice="5.008 -0.101 -0.003 -0.087 5.006 -0.006 0.004 0.008 6.707" Properties=species:S:1:pos:R:3 pbc="T T T"
Er 2.463 2.459 5.077
Er 2.461 2.455 1.621
Ta 0.000 0.000 0.000
Bi 0.002 0.004 3.353
O 0.847 4.068 1.562
O 3.514 3.508 -0.006
O 4.076 0.841 1.564
O 4.078 0.845 5.136
O 1.410 1.405 6.704
O 0.849 4.072 5.134
O 3.453 3.450 3.347
O 1.472 1.463 3.351
```